Entry 1:
Here is KUTiSe4 after structural relaxation from Alexandria. Energies are from PBE.

Results
crystal system: orthorhombic

Geometry as CIF:
```
data_KUTiSe4
_chemical_formula_sum 'K4 U4 Ti4 Se16'
_space_group_name_H-M_alt 'I m m a'
_space_group_IT_number 74
_space_group_name_Hall '-I 2b 2'
_cell_length_a 8.015
_cell_length_b 9.288
_cell_length_c 10.749
_cell_angle_alpha 90.00
_cell_angle_beta 90.00
_cell_angle_gamma 90.00
loop_
_atom_site_label
_atom_site_type_symbol
_atom_site_fract_x
_atom_site_fract_y
_atom_site_fract_z
K1 K 0.000 0.250 0.187
U1 U 0.000 0.000 0.500
Ti1 Ti 0.250 0.250 0.750
Se1 Se 0.000 0.066 0.758
Se2 Se 0.218 0.250 0.504
```

=====

Entry 2:
Here is Cs2LiCl3 after structural relaxation from Alexandria. Energies are from PBE.

Results
crystal system: orthorhombic
polymorph energy (0 for the lowest one): 15 kJ/mol of formula units

Geometry as CIF:
```
data_Cs2LiCl3
_chemical_formula_sum 'Cs8 Li4 Cl12'
_space_group_name_H-M_alt 'C m c m'
_space_group_IT_number 63
_space_group_name_Hall '-C 2c 2'
_cell_length_a 4.289
_cell_length_b 23.504
_cell_length_c 7.854
_cell_angle_alpha 90.00
_cell_angle_beta 90.00
_cell_angle_gamma 90.00
loop_
_atom_site_label
_atom_site_type_symbol
_atom_site_fract_x
_atom_site_fract_y
_atom_site_fract_z
Cs1 Cs 0.000 0.005 0.250
Cs2 Cs 0.000 0.178 0.750
Li1 Li 0.000 0.351 0.750
Cl1 Cl 0.000 0.202 0.250
Cl2 Cl 0.000 0.411 0.501
```

=====

Let's list formation energy (no corrections) in order: -25.46, -43.84 kcal/mol of atoms.